[1]
TiNO2, optimized geometry, DFT GGA-PBE; DFT total energy = -7.491 eV/atom
1.0
-4.7896 -0.1811 3.5327
3.1913 -2.7865 4.1838
0.2806 2.2371 5.5129
N O Ti
2 4 2
Cartesian
-0.7992 -1.4838 3.8583
1.3364 -1.0166 6.7775
-3.7121 0.0529 4.9852
-2.1360 -1.3411 7.0915
-1.1802 1.2560 5.9910
-3.5880 1.1768 7.7403
0.0000 0.0000 0.0000
-2.6541 0.2861 6.4520

***

[2]
CuAgOsBr6, optimized geometry, DFT GGA-PBE; DFT total energy = -3.299 eV/atom
1.0
6.6570 0.0000 0.0000
-3.3285 5.7651 0.0000
0.0000 0.0000 12.3587
Cu Ag Os Br
2 2 2 12
Cartesian
0.0000 3.8434 3.0897
3.3285 1.9217 9.2690
0.0000 0.0000 0.0000
0.0000 0.0000 6.1794
3.3285 1.9217 3.0897
0.0000 3.8434 9.2690
2.1990 3.6547 1.6668
5.3940 2.0334 1.6668
-0.9361 5.6881 7.8462
-2.0655 3.7317 10.6919
1.2630 2.0334 4.5126
4.4580 3.6547 4.5126
0.9361 5.6881 10.6919
4.2646 0.0771 4.5126
-1.1295 2.1105 7.8462
2.3924 0.0771 1.6668
2.0655 3.7317 7.8462
1.1295 2.1105 10.6919

***

[3]
CoReBr2, optimized geometry, DFT GGA-PBE; DFT total energy = -4.652 eV/atom
1.0
-4.1450 -0.6908 1.3350
-3.5001 -2.4363 -1.1199
0.4436 -4.3302 3.1953
Br Co Re
2 1 1
Cartesian
-7.4898 -3.0815 0.2234
-3.7560 -3.7743 1.6968
-1.8004 -1.8643 0.8526
-5.4011 -5.5930 2.5578

***

[4]
MnNb2In2Te6, optimized geometry, DFT GGA-PBE; DFT total energy = -5.112 eV/atom
1.0
-2.3292 -3.3212 5.5881
1.3357 -3.5145 -5.7920
7.8170 0.6748 2.5060
Mn Nb In Te
1 2 2 6
Cartesian
3.9085 0.3374 1.2530
3.8807 -3.1052 -0.3052
2.9428 -3.0557 2.6073
-1.6199 -3.3586 3.3857
0.6264 -3.4771 -3.5896
5.0628 -4.5632 1.7079
5.7800 -1.0034 -0.3531
1.7607 -1.5977 0.5942
4.4781 -0.9348 3.6895
1.0435 -5.1575 2.6552
2.3454 -5.2261 -1.3874

***

[5]
CaPm2HoTe4, optimized geometry, DFT GGA-PBE; DFT total energy = -4.998 eV/atom
1.0
-4.3420 -0.6045 0.3228
1.1819 -7.0913 2.6167
-0.2330 4.8889 6.0212
Ca Pm Ho Te
1 2 1 4
Cartesian
0.0000 0.0000 0.0000
-2.2875 2.1422 3.1720
0.4744 -1.1012 4.3189
-1.5800 -3.8479 1.4697
-1.9316 -0.8911 2.2776
-1.4614 -1.9158 6.6831
0.1245 1.9045 5.2412
0.8244 -4.1069 3.3967

***

[6]
Tb6Nd3Tm2Mg, optimized geometry, DFT GGA-PBE; energy relative to the elements = 40 kJ/mol of formula units; DFT total energy = -4.351 eV/atom
1.0
-6.0683 0.5726 -1.0734
2.0663 -4.3853 3.8475
0.4745 8.6299 7.9106
Tb Nd Tm Mg
6 3 2 1
Cartesian
-4.0104 4.4821 7.2603
-2.8744 -0.7426 4.0033
0.4829 0.3351 3.4244
-1.3051 2.8332 8.8969
-0.6532 5.5598 6.6814
-2.2225 1.9840 1.7878
0.9539 0.7522 6.9864
-4.4814 4.0650 3.6983
-1.7638 2.4086 5.3424
-0.6494 -2.7301 2.2047
-3.3526 -1.0826 0.5694
0.0000 0.0000 0.0000

***

[7]
CaDy2S4, optimized geometry, DFT GGA-PBE; DFT total energy = -6.032 eV/atom
1.0
7.2595 0.0038 0.0000
-2.4078 6.8486 0.0000
-2.4258 -3.4262 5.9226
Ca Dy S
2 4 8
Cartesian
3.6298 0.0019 2.9613
0.0000 0.0000 0.0000
-1.2167 2.1474 5.1951
1.2257 2.9900 2.2338
4.8554 2.9919 0.7275
-0.0127 -1.2769 3.6888
3.9247 2.9840 3.5894
-0.9150 1.2669 2.3332
1.4336 0.9378 4.4402
2.7148 1.2688 0.6281
-2.1309 -0.4441 5.2945
-0.7956 5.0880 1.4789
2.6375 -2.4865 4.4437
2.8342 5.0899 1.4824

***

[8]
AgAs2, optimized geometry, DFT GGA-PBE; energy relative to the elements = 68 kJ/mol of formula units; DFT total energy = -3.816 eV/atom
1.0
-6.8767 6.9736 -2.1615
5.9058 -5.9691 5.4849
2.5377 2.4981 -0.0137
Ag As
2 4
Cartesian
-4.7725 6.1100 -1.2857
6.3393 -2.6073 4.5954
-0.4228 1.7057 1.3163
1.9895 1.7969 1.9935
3.0613 -1.8221 3.4005
-1.4946 5.3248 -0.0907

***

[9]
GaBiCl, optimized geometry, DFT GGA-PBE; DFT total energy = -3.349 eV/atom
1.0
3.3919 -0.0082 -0.0120
0.0122 4.5020 -0.0060
0.0584 0.0123 6.6894
Bi Ga Cl
1 1 1
Cartesian
0.8002 4.3408 4.7775
0.7892 2.0876 3.1715
2.4788 2.0813 1.4709

***

[10]
Pr8Y4Mg, optimized geometry, DFT GGA-PBE; energy relative to the elements = 195 kJ/mol of formula units; DFT total energy = -4.897 eV/atom
1.0
-4.3808 3.1195 -4.8742
4.3901 -5.4192 -2.0099
-5.7992 -6.9788 6.1496
Pr Y Mg
8 4 1
Cartesian
-1.0019 -4.8540 -2.2060
-4.7880 -4.4245 1.4715
-2.7441 -1.7510 -1.2727
-7.4314 -3.2227 -0.7874
-3.0458 -7.5276 0.5382
-5.1684 -6.0161 -1.8234
-0.6215 -3.2624 1.0890
1.6415 -6.0559 0.0529
0.0000 0.0000 0.0000
2.1950 -2.7096 -1.0050
0.0046 -1.1499 -3.4421
-2.1904 1.5597 -2.4371
-0.7046 -6.1990 2.0699

***

[11]
NaPb3, optimized geometry, DFT GGA-PBE; energy relative to the elements = -47 kJ/mol of formula units; DFT total energy = -3.234 eV/atom
1.0
4.9269 0.0000 0.0000
0.0000 4.9269 0.0000
0.0000 0.0000 4.9269
Pb Na
3 1
Cartesian
0.0000 2.4634 2.4634
2.4634 2.4634 0.0000
2.4634 0.0000 2.4634
0.0000 0.0000 0.0000

***

[12]
Sr2PrCu2Se4, optimized geometry, DFT GGA-PBE; DFT total energy = -4.625 eV/atom
1.0
4.0787 0.0000 0.0000
0.0000 7.6020 0.1379
-2.0393 -2.8763 7.1120
Sr Pr Cu Se
2 1 2 4
Cartesian
0.0000 3.5970 1.9801
2.0393 1.1287 5.2697
0.0000 0.0000 0.0000
2.0393 6.5166 2.8115
0.0000 -1.7909 4.4384
0.0000 0.4272 2.9893
2.0393 4.2985 4.2606
2.0393 5.4544 0.5314
0.0000 -0.7286 6.7184

***

Q: The highest DFT total energy belongs to which entry?
A: NaPb3